# 1
First-principles (PBE) data for a relaxed structure of Pu2PaAs2Rh2, as listed in Alexandria via LeMat-Bulk.

The space group is R-3m (No. 166, hexagonal axes) and the conventional cell measures 4.2084, 4.2084 and 25.5033 Å, with angles of 90.00, 90.00 and 120.00 degrees. The distinct sites, in fractional coordinates, are Pu at (0.0000, 0.0000, 0.1550), Pa at (0.0000, 0.0000, 0.0000), As at (0.0000, 0.0000, 0.2702) and Rh at (0.0000, 0.0000, 0.4277).

The value obtained for the energy of formation from the pure elements is -0.533 eV/atom. Its crystal system is trigonal. The total energy comes out at -9.4137 eV per atom.

***

# 2
First-principles (PBE) data for a relaxed structure of PuPaAs2Rh2, as listed in Alexandria via LeMat-Bulk.

The space group is P-3m1 (No. 164) and the conventional cell measures 4.2387, 4.2387 and 7.6350 Å, with angles of 90.00, 90.00 and 120.00 degrees. The distinct sites, in fractional coordinates, are Pu at (0.0000, 0.0000, 0.0000), Pa at (0.0000, 0.0000, 0.5000), As at (0.3333, 0.6667, 0.7741) and Rh at (0.3333, 0.6667, 0.2868).

The value obtained for the energy of formation from the pure elements is -0.945 eV/atom. Its crystal system is trigonal. The total energy comes out at -8.9168 eV per atom.

***

# 3
First-principles (PBE) data for a relaxed structure of PuPaAs2Ru2, as listed in Alexandria via LeMat-Bulk.

The space group is P-3m1 (No. 164) and the conventional cell measures 4.1968, 4.1968 and 7.6999 Å, with angles of 90.00, 90.00 and 120.00 degrees. The distinct sites, in fractional coordinates, are Pu at (0.0000, 0.0000, 0.0000), Pa at (0.0000, 0.0000, 0.5000), As at (0.3333, 0.6667, 0.2216) and Ru at (0.3333, 0.6667, 0.7043).

The value obtained for the energy of formation from the pure elements is -0.679 eV/atom. Its crystal system is trigonal. The total energy comes out at -9.2918 eV per atom.

***

# 4
First-principles (PBE) data for a relaxed structure of PuScPa2As4, as listed in Alexandria via LeMat-Bulk.

The space group is P2/m (No. 10) and the conventional cell measures 6.9807, 4.0718 and 7.0515 Å, with angles of 90.00, 109.64 and 90.00 degrees. The distinct sites, in fractional coordinates, are Pu at (0.0000, 0.0000, 0.0000), Sc at (0.0000, 0.5000, 0.5000), Pa at (0.5000, 0.0000, 0.5000), Pa at (0.5000, 0.5000, 0.0000), As at (0.2426, 0.0000, 0.7406) and As at (0.2464, 0.5000, 0.2559).

The value obtained for the energy of formation from the pure elements is -1.123 eV/atom. Its crystal system is monoclinic. The total energy comes out at -8.4051 eV per atom.

***

# 5
First-principles (PBE) data for a relaxed structure of PuPaAsSe, as listed in Alexandria via LeMat-Bulk.

The space group is F-43m (No. 216) and the conventional cell measures 7.1068, 7.1068 and 7.1068 Å, with angles of 90.00, 90.00 and 90.00 degrees. The distinct sites, in fractional coordinates, are Pu at (0.0000, 0.0000, 0.0000), Pa at (0.0000, 0.0000, 0.5000), As at (0.2500, 0.2500, 0.7500) and Se at (0.2500, 0.2500, 0.2500).

Its crystal system is cubic. The total energy comes out at -9.0312 eV per atom. As for the uncorrected formation energy: -1.041 eV/atom.

***

# 6
First-principles (PBE) data for a relaxed structure of Sm3PuPa2As6, as listed in Alexandria via LeMat-Bulk.

The space group is C2/m (No. 12) and the conventional cell measures 7.2020, 12.4710 and 7.2132 Å, with angles of 90.00, 109.43 and 90.00 degrees. The distinct sites, in fractional coordinates, are Sm at (0.0000, 0.0000, 0.0000), Sm at (0.0000, 0.3345, 0.0000), Pu at (0.0000, 0.5000, 0.5000), Pa at (0.0000, 0.1670, 0.5000), As at (0.2427, 0.0000, 0.7411) and As at (0.2493, 0.3313, 0.7411).

The value obtained for the energy of formation from the pure elements is -1.299 eV/atom. Its crystal system is monoclinic. The total energy comes out at -7.5804 eV per atom.